1.
Li3In2I5 | PBE | relaxed

abc: 8.0798 8.0798 11.1801
angles: 116.95 116.95 32.72
Closest atoms and distances in Å follow each position.
Element x y z (fractional)
Li  0.0000  0.0000  0.0000  6 I 3.02-3.11
Li  0.4325  0.4325  0.6896  4 I 2.75-2.79
Li  0.5675  0.5675  0.3104  4 I 2.75-2.79
In  0.1759  0.1759  0.7505  7 I 3.54-3.64
In  0.8241  0.8241  0.2495  7 I 3.54-3.64
I  0.1599  0.1599  0.2907  3 Li 2.75-3.02
I  0.3931  0.3931  0.0672  3 Li 2.79-3.11
I  0.5000  0.5000  0.5000  2 Li 2.77
I  0.6069  0.6069  0.9328  3 Li 2.79-3.11
I  0.8401  0.8401  0.7093  3 Li 2.75-3.02

Properties
Energy relative to the elements, uncorrected: -0.886 eV/atom
Magnetization: 0.0 μB per cell

2.
LiIn3I4 | PBE | relaxed

abc: 9.4459 10.5498 6.8902
angles: 90.00 90.00 90.00
Closest atoms and distances in Å follow each position.
Element x y z (fractional)
Li  0.0000  0.2132  0.0000  4 I 2.80-2.84
Li  0.5000  0.7868  0.5000  4 I 2.80-2.84
In  0.0000  0.9096  0.4275  5 I 3.44-3.50
In  0.1845  0.6504  0.9233  4 I 3.20-3.52, 1 In 3.49
In  0.3155  0.3496  0.4233  4 I 3.20-3.52, 1 In 3.49
In  0.5000  0.0904  0.9275  5 I 3.44-3.50
In  0.6845  0.3496  0.4233  4 I 3.20-3.52, 1 In 3.49
In  0.8155  0.6504  0.9233  4 I 3.20-3.52, 1 In 3.49
I  0.0000  0.2389  0.4102  1 Li 2.84
I  0.0000  0.9520  0.9311  1 Li 2.80
I  0.2410  0.6650  0.4195  1 Li 2.82
I  0.2590  0.3350  0.9195  1 Li 2.82
I  0.5000  0.0480  0.4311  1 Li 2.80
I  0.5000  0.7611  0.9102  1 Li 2.84
I  0.7410  0.3350  0.9195  1 Li 2.82
I  0.7590  0.6650  0.4195  1 Li 2.82

Properties
Energy relative to the elements, uncorrected: -0.610 eV/atom
E above lowest polymorph: 0.000 eV per atom
Magnetization: 0.0 μB per cell

3.
Li2InI4 | PBE | relaxed

abc: 8.7167 8.7167 8.7167
angles: 139.15 139.15 59.15
Closest atoms and distances in Å follow each position.
Element x y z (fractional)
Li  0.1261  0.1261  0.0000  1 I 2.61
Li  0.8739  0.8739  0.0000  1 I 2.61
In  0.5000  0.5000  0.0000  6 I 3.04-3.05
I  0.0000  0.5000  0.5000  2 In 3.04
I  0.2986  0.2986  0.0000  1 Li 2.61
I  0.5000  0.0000  0.5000  2 In 3.04
I  0.7014  0.7014  0.0000  1 Li 2.61

Properties
Energy relative to the elements, uncorrected: -0.655 eV/atom
E above lowest polymorph: 0.166 eV per atom
Magnetization: 0.0 μB per cell

4.
Li2InI4 | PBE | relaxed

abc: 8.0708 8.0708 8.0708
angles: 133.10 133.10 68.50
Closest atoms and distances in Å follow each position.
Element x y z (fractional)
Li  0.2500  0.7500  0.5000  4 I 2.80
Li  0.7500  0.2500  0.5000  4 I 2.80
In  0.0000  0.0000  0.0000  4 I 3.04
I  0.1465  0.5955  0.0000  2 Li 2.80, 1 In 3.04
I  0.4045  0.4045  0.5509  2 Li 2.80, 1 In 3.04
I  0.5955  0.1465  0.0000  2 Li 2.80, 1 In 3.04
I  0.8535  0.8535  0.4491  2 Li 2.80, 1 In 3.04

Properties
Energy relative to the elements, uncorrected: -0.822 eV/atom
E above lowest polymorph: 0.000 eV per atom
Magnetization: 0.0 μB per cell